(1)
# ScGeClF2 | the Alexandria database | PBE | optimized geometry
data_ScGeClF2
_cell_length_a 4.080
_cell_length_b 4.080
_cell_length_c 5.680
_cell_angle_alpha 90.00
_cell_angle_beta 90.00
_cell_angle_gamma 90.00
_space_group_name_H-M_alt 'P 4/m m m'
_space_group_IT_number 123
_space_group_name_Hall '-P 4 2'
loop_
_atom_site_label
_atom_site_type_symbol
_atom_site_fract_x
_atom_site_fract_y
_atom_site_fract_z
Sc1 Sc 0.000 0.000 0.000
Ge1 Ge 0.000 0.000 0.500
Cl1 Cl 0.500 0.500 0.000
F1 F 0.000 0.500 0.500
# Volume (Å³ per atom): 18.9
# ΔE_f (raw) (meV/atom): -1537
# Magnetic moment (μB/f.u.): 0.0

(2)
# Zr2NpCo9 | the Alexandria database | PBE | optimized geometry
data_Zr2NpCo9
_cell_length_a 4.8621
_cell_length_b 4.8621
_cell_length_c 23.8909
_cell_angle_alpha 90.00
_cell_angle_beta 90.00
_cell_angle_gamma 120.00
_space_group_name_H-M_alt 'R -3 m'
_space_group_IT_number 166
_space_group_name_Hall '-R 3 2"'
loop_
_atom_site_label
_atom_site_type_symbol
_atom_site_fract_x
_atom_site_fract_y
_atom_site_fract_z
Zr1 Zr 0.0000 0.0000 0.1398
Np1 Np 0.0000 0.0000 0.0000
Co1 Co 0.0000 0.0000 0.3353
Co2 Co 0.0000 0.0000 0.5000
Co3 Co 0.0050 0.5025 0.9159
# Volume (Å³ per atom): 13.6
# Energy of formation (kJ per mole of atoms): -17.8
# Magnetic moment (μB/f.u.): 5.3

(3)
# AcNd2Sm4Er | the Alexandria database | PBE | optimized geometry
data_AcNd2Sm4Er
_cell_length_a 5.179
_cell_length_b 5.194
_cell_length_c 10.396
_cell_angle_alpha 90.00
_cell_angle_beta 90.00
_cell_angle_gamma 90.00
_space_group_name_H-M_alt 'P m m m'
_space_group_IT_number 47
_space_group_name_Hall '-P 2 2'
loop_
_atom_site_label
_atom_site_type_symbol
_atom_site_fract_x
_atom_site_fract_y
_atom_site_fract_z
Ac1 Ac 0.000 0.000 0.000
Nd1 Nd 0.000 0.000 0.500
Nd2 Nd 0.500 0.500 0.000
Sm1 Sm 0.000 0.500 0.258
Sm2 Sm 0.500 0.000 0.258
Er1 Er 0.500 0.500 0.500
# Volume (Å³ per atom): 35.0
# Energy of formation (kJ per mole of atoms): 2.5
# Magnetic moment (μB/f.u.): 0.0

(4)
# Ac6C3ICl2 | the Alexandria database | PBE | optimized geometry
data_Ac6C3ICl2
_cell_length_a 19.837
_cell_length_b 4.046
_cell_length_c 9.230
_cell_angle_alpha 90.00
_cell_angle_beta 113.94
_cell_angle_gamma 90.00
_space_group_name_H-M_alt 'C 1 2/m 1'
_space_group_IT_number 12
_space_group_name_Hall '-C 2y'
loop_
_atom_site_label
_atom_site_type_symbol
_atom_site_fract_x
_atom_site_fract_y
_atom_site_fract_z
Ac1 Ac 0.015 0.000 0.211
Ac2 Ac 0.154 0.500 0.114
Ac3 Ac 0.183 0.500 0.550
C1 C 0.000 0.500 0.000
C2 C 0.167 0.000 0.329
I1 I 0.000 0.500 0.500
Cl1 Cl 0.170 0.000 0.835
# Volume (Å³ per atom): 28.2
# ΔE_f (raw) (meV/atom): -731
# Magnetic moment (μB/f.u.): 0.0